(1)
This record from the Alexandria database describes a geometry-optimized Mg2CrCl structure. The functional is PBE.

abc: 5.6739 5.6739 5.6739
angles: 146.53 119.27 71.15
Last column: nearest neighbours and their distance in Å.
Element x y z (fractional)
Mg  0.2263  0.2263  0.0000  2 Cl 2.65
Mg  0.7737  0.7737  0.0000  2 Cl 2.65
Cr  0.5000  0.0000  0.5000  4 Mg 3.01, 2 Cr 3.27, 4 Cl 3.30
Cl  0.0000  0.5000  0.5000  4 Mg 2.65

Output
Formation energy (no corrections)   0.02 eV/atom
SG   Immm, No. 71
V   86.5 Å³ per cell

(2)
This record from the Alexandria database describes a geometry-optimized MgCr2Cl structure. The functional is PBE.

abc: 3.1221 3.1221 8.2105
angles: 102.34 102.34 59.30
Last column: nearest neighbours and their distance in Å.
Element x y z (fractional)
Mg  0.0000  0.0000  0.0000  3 Cl 2.65-2.67, 3 Cr 2.93
Cr  0.2214  0.2214  0.7091  3 Cr 2.33-2.39
Cr  0.4712  0.4712  0.5154  3 Cr 2.33-2.39
Cl  0.7659  0.7659  0.2472  3 Mg 2.65-2.67, 2 Cr 2.70

Output
Formation energy (no corrections)   0.04 eV/atom
SG   Cm, No. 8
V   66.7 Å³ per cell

(3)
This record from the Alexandria database describes a geometry-optimized MgCr2Cl structure. The functional is PBE.

abc: 8.6509 8.6509 8.6509
angles: 21.44 21.44 21.44
Last column: nearest neighbours and their distance in Å.
Element x y z (fractional)
Mg  0.0000  0.0000  0.0000  6 Cr 2.94, 6 Mg 3.22
Cr  0.2435  0.2435  0.2435  3 Cl 2.69, 3 Mg 2.94
Cr  0.7565  0.7565  0.7565  3 Cl 2.69, 3 Mg 2.94
Cl  0.5000  0.5000  0.5000  6 Cr 2.69

Output
Formation energy (no corrections)   0.37 eV/atom
SG   R-3m, No. 166
V   75.8 Å³ per cell

(4)
This record from the Alexandria database describes a geometry-optimized Mg2CrCl structure. The functional is PBE.

abc: 3.2144 3.2144 8.1329
angles: 90.00 90.00 90.00
Last column: nearest neighbours and their distance in Å.
Element x y z (fractional)
Mg  0.0000  0.0000  0.0000  4 Cr 3.02, 8 Mg 3.17-3.21
Mg  0.5000  0.5000  0.2716  8 Mg 3.17-3.21, 4 Cl 3.22
Cr  0.5000  0.5000  0.7557  4 Cl 2.81, 4 Mg 3.02
Cl  0.0000  0.0000  0.5522  4 Cr 2.81

Output
Formation energy (no corrections)   0.01 eV/atom
SG   P4mm, No. 99
V   84.0 Å³ per cell

(5)
This record from the Alexandria database describes a geometry-optimized MgCrCl structure. The functional is PBE.

abc: 3.0478 3.0478 7.7226
angles: 90.00 90.00 120.00
Last column: nearest neighbours and their distance in Å.
Element x y z (fractional)
Mg  0.0000  0.0000  0.0000  3 Cr 2.81, 6 Mg 3.05
Cr  0.6667  0.3333  0.7170  3 Cl 2.26
Cl  0.3333  0.6667  0.5342  3 Cr 2.26

Output
Formation energy (no corrections)   0.05 eV/atom
SG   P3m1, No. 156
V   62.1 Å³ per cell

(6)
This record from the Alexandria database describes a geometry-optimized Mg2CrCl structure. The functional is PBE.

abc: 3.3613 4.5766 5.7258
angles: 90.00 90.00 90.00
Last column: nearest neighbours and their distance in Å.
Element x y z (fractional)
Mg  0.0000  0.0000  0.0000  4 Cl 2.84
Mg  0.5000  0.0000  0.5000  4 Cr 2.84
Cr  0.0000  0.5000  0.5000  4 Mg 2.84
Cl  0.5000  0.5000  0.0000  4 Mg 2.84

Output
Formation energy (no corrections)   0.18 eV/atom
SG   Pmmm, No. 47
V   88.1 Å³ per cell

(7)
This record from the Alexandria database describes a geometry-optimized MgCr2Cl structure. The functional is PBE.

abc: 5.8870 5.8870 5.8870
angles: 149.78 130.14 59.43
Last column: nearest neighbours and their distance in Å.
Element x y z (fractional)
Mg  0.0000  0.0000  0.0000  6 Cr 2.93-2.94, 2 Mg 3.07, 2 Cl 3.11
Cr  0.4636  0.4636  0.0000  2 Cr 2.47, 2 Cl 2.55
Cr  0.6527  0.1527  0.5000  2 Cr 2.47
Cl  0.2649  0.7649  0.5000  2 Cr 2.55

Output
Formation energy (no corrections)   0.27 eV/atom
SG   Imm2, No. 44
V   77.9 Å³ per cell

(8)
This record from the Alexandria database describes a geometry-optimized MgCrCl2 structure. The functional is PBE.

abc: 11.1511 11.1511 11.1511
angles: 18.03 18.03 18.03
Last column: nearest neighbours and their distance in Å.
Element x y z (fractional)
Mg  0.0000  0.0000  0.0000  6 Cl 2.48
Cr  0.5000  0.5000  0.5000  6 Cr 3.50
Cl  0.3771  0.3771  0.3771  3 Mg 2.48
Cl  0.6229  0.6229  0.6229  3 Mg 2.48

Output
Formation energy (no corrections)   -0.64 eV/atom
SG   R-3m, No. 166
V   116.0 Å³ per cell

(9)
This record from the Alexandria database describes a geometry-optimized Mg4CrCl structure. The functional is PBE.

abc: 5.8718 5.8718 5.8718
angles: 60.00 60.00 60.00
Last column: nearest neighbours and their distance in Å.
Element x y z (fractional)
Mg  0.3763  0.3763  0.3763  6 Mg 2.91-2.97
Mg  0.3763  0.3763  0.8711  6 Mg 2.91-2.97
Mg  0.3763  0.8711  0.3763  6 Mg 2.91-2.97
Mg  0.8711  0.3763  0.3763  6 Mg 2.91-2.97
Cr  0.7500  0.7500  0.7500  12 Mg 3.44, 4 Cl 3.60
Cl  0.0000  0.0000  0.0000  12 Mg 3.45, 4 Cr 3.60

Output
Formation energy (no corrections)   0.30 eV/atom
SG   F-43m, No. 216
V   143.1 Å³ per cell

(10)
This record from the Alexandria database describes a geometry-optimized MgCrCl structure. The functional is PBE.

abc: 6.8460 6.4795 3.3052
angles: 81.89 69.55 28.55
Last column: nearest neighbours and their distance in Å.
Element x y z (fractional)
Mg  0.0000  0.0000  0.0000  2 Cl 2.61, 2 Cr 2.78
Cr  0.3257  0.3257  0.6743  2 Cl 2.74, 2 Mg 2.78
Cl  0.6561  0.6561  0.3439  2 Mg 2.61, 2 Cr 2.74

Output
Formation energy (no corrections)   -0.07 eV/atom
SG   Fmm2, No. 42
V   61.0 Å³ per cell

(11)
This record from the Alexandria database describes a geometry-optimized MgCr2Cl structure. The functional is PBE.

abc: 5.6022 5.6022 5.6022
angles: 146.84 124.34 66.35
Last column: nearest neighbours and their distance in Å.
Element x y z (fractional)
Mg  0.0000  0.0000  0.0000  4 Cr 3.01, 4 Cl 3.07, 2 Mg 3.20
Cr  0.2724  0.7724  0.5000  2 Cl 2.67
Cr  0.7276  0.2276  0.5000  2 Cl 2.67
Cl  0.5000  0.5000  0.0000  4 Cr 2.67

Output
Formation energy (no corrections)   0.45 eV/atom
SG   Immm, No. 71
V   78.4 Å³ per cell

(12)
This record from the Alexandria database describes a geometry-optimized MgCrCl2 structure. The functional is PBE.

abc: 3.6558 3.6558 6.1470
angles: 90.00 90.00 90.00
Last column: nearest neighbours and their distance in Å.
Element x y z (fractional)
Mg  0.0000  0.0000  0.0000  5 Cl 2.61-2.63
Cr  0.5000  0.5000  0.6765  1 Cl 2.48
Cl  0.0000  0.0000  0.4254  1 Mg 2.61
Cl  0.5000  0.5000  0.0801  1 Cr 2.48, 4 Mg 2.63

Output
Formation energy (no corrections)   -0.43 eV/atom
SG   P4mm, No. 99
V   82.2 Å³ per cell

Short version: total DFT energy (no corrections) = -0.26756; -0.41408; -0.38944; -0.26852; -0.31630; -0.25631; -0.39677; -0.32117; -0.19672; -0.32497; -0.38373; -0.30528 Ry/atom, in the order given.